First-principles (PBE) data for a relaxed Ac2AlGePt crystal, as listed in Alexandria.

a b c (Å): 4.4534 4.4534 14.8425
angles (deg): 90.00 90.00 90.00
Sites, in units of the cell vectors:
Ac 0.2500 0.2500 0.1062
Ac 0.2500 0.2500 0.6754
Ac 0.7500 0.7500 0.3246
Ac 0.7500 0.7500 0.8938
Al 0.2500 0.7500 0.5000
Al 0.7500 0.2500 0.5000
Ge 0.2500 0.2500 0.8851
Ge 0.7500 0.7500 0.1149
Pt 0.2500 0.2500 0.4115
Pt 0.7500 0.7500 0.5885

Space-group type ... P4/nmm
ΔE_f ... -813 meV/atom



First-principles (PBE) data for a relaxed Ac2Al4Ge3Pt crystal, as listed in Alexandria.

a b c (Å): 4.6462 4.6462 10.1123
angles (deg): 90.00 90.00 90.00
Sites, in units of the cell vectors:
Ac 0.0000 0.5000 0.2412
Ac 0.5000 0.0000 0.7588
Al 0.0000 0.0000 0.5000
Al 0.0000 0.5000 0.8867
Al 0.5000 0.0000 0.1133
Al 0.5000 0.5000 0.5000
Ge 0.0000 0.0000 0.0000
Ge 0.0000 0.5000 0.6257
Ge 0.5000 0.0000 0.3743
Pt 0.5000 0.5000 0.0000

Space-group type ... P-4m2
ΔE_f ... -551 meV/atom



First-principles (PBE) data for a relaxed Ac3Al2GePt9 crystal, as listed in Alexandria.

a b c (Å): 6.6654 6.6654 8.7425
angles (deg): 90.00 90.00 120.00
Sites, in units of the cell vectors:
Ac 0.0000 0.0000 0.0000
Ac 0.3333 0.6667 0.6859
Ac 0.6667 0.3333 0.3141
Al 0.3333 0.6667 0.1864
Al 0.6667 0.3333 0.8136
Ge 0.0000 0.0000 0.5000
Pt 0.0000 0.5000 0.0000
Pt 0.1423 0.2846 0.2885
Pt 0.1423 0.8577 0.2885
Pt 0.2846 0.1423 0.7115
Pt 0.5000 0.0000 0.0000
Pt 0.5000 0.5000 0.0000
Pt 0.7154 0.8577 0.2885
Pt 0.8577 0.1423 0.7115
Pt 0.8577 0.7154 0.7115

Space-group type ... P-3m1
ΔE_f ... -750 meV/atom



First-principles (PBE) data for a relaxed AcPuAlGe2 crystal, as listed in Alexandria.

a b c (Å): 6.9600 6.9600 6.9600
angles (deg): 142.25 142.25 54.46
Sites, in units of the cell vectors:
Ac 0.0000 0.0000 0.0000
Pu 0.7500 0.2500 0.5000
Al 0.2500 0.7500 0.5000
Ge 0.3924 0.3924 0.0000
Ge 0.6076 0.6076 0.0000

Space-group type ... I-4m2
ΔE_f ... -447 meV/atom



First-principles (PBE) data for a relaxed Ac2AlReGe6 crystal, as listed in Alexandria.

a b c (Å): 13.0740 13.0740 13.0740
angles (deg): 28.75 28.75 28.75
Sites, in units of the cell vectors:
Ac 0.1245 0.1245 0.1245
Ac 0.2938 0.2938 0.2938
Ac 0.7062 0.7062 0.7062
Ac 0.8755 0.8755 0.8755
Al 0.0000 0.0000 0.0000
Al 0.5000 0.5000 0.5000
Re 0.4324 0.4324 0.4324
Re 0.5676 0.5676 0.5676
Ge 0.0578 0.6610 0.6610
Ge 0.2379 0.2379 0.6516
Ge 0.2379 0.6516 0.2379
Ge 0.3390 0.3390 0.9422
Ge 0.3390 0.9422 0.3390
Ge 0.3484 0.7621 0.7621
Ge 0.6516 0.2379 0.2379
Ge 0.6610 0.0578 0.6610
Ge 0.6610 0.6610 0.0578
Ge 0.7621 0.3484 0.7621
Ge 0.7621 0.7621 0.3484
Ge 0.9422 0.3390 0.3390

Space-group type ... R-3m
ΔE_f ... -263 meV/atom



First-principles (PBE) data for a relaxed Ac2AlGeRh6 crystal, as listed in Alexandria.

a b c (Å): 6.5768 6.5768 6.5768
angles (deg): 60.00 60.00 60.00
Sites, in units of the cell vectors:
Ac 0.2500 0.2500 0.2500
Ac 0.7500 0.7500 0.7500
Al 0.0000 0.0000 0.0000
Ge 0.5000 0.5000 0.5000
Rh 0.2491 0.2491 0.7509
Rh 0.2491 0.7509 0.2491
Rh 0.2491 0.7509 0.7509
Rh 0.7509 0.2491 0.2491
Rh 0.7509 0.2491 0.7509
Rh 0.7509 0.7509 0.2491

Space-group type ... Fm-3m
ΔE_f ... -459 meV/atom



First-principles (PBE) data for a relaxed Ac2AlGe4Rh3 crystal, as listed in Alexandria.

a b c (Å): 4.3813 4.3813 10.5029
angles (deg): 90.00 90.00 90.00
Sites, in units of the cell vectors:
Ac 0.0000 0.5000 0.2425
Ac 0.5000 0.0000 0.7575
Al 0.0000 0.0000 0.5000
Ge 0.0000 0.0000 0.0000
Ge 0.0000 0.5000 0.6387
Ge 0.5000 0.0000 0.3613
Ge 0.5000 0.5000 0.0000
Rh 0.0000 0.5000 0.8796
Rh 0.5000 0.0000 0.1204
Rh 0.5000 0.5000 0.5000

Space-group type ... P-4m2
ΔE_f ... -759 meV/atom



First-principles (PBE) data for a relaxed Ac2AlGe6Rh crystal, as listed in Alexandria.

a b c (Å): 12.7439 12.7439 12.7439
angles (deg): 29.67 29.67 29.67
Sites, in units of the cell vectors:
Ac 0.1181 0.1181 0.1181
Ac 0.2926 0.2926 0.2926
Ac 0.7074 0.7074 0.7074
Ac 0.8819 0.8819 0.8819
Al 0.0000 0.0000 0.0000
Al 0.5000 0.5000 0.5000
Ge 0.0599 0.6648 0.6648
Ge 0.2385 0.2385 0.6492
Ge 0.2385 0.6492 0.2385
Ge 0.3352 0.3352 0.9401
Ge 0.3352 0.9401 0.3352
Ge 0.3508 0.7615 0.7615
Ge 0.6492 0.2385 0.2385
Ge 0.6648 0.0599 0.6648
Ge 0.6648 0.6648 0.0599
Ge 0.7615 0.3508 0.7615
Ge 0.7615 0.7615 0.3508
Ge 0.9401 0.3352 0.3352
Rh 0.4328 0.4328 0.4328
Rh 0.5672 0.5672 0.5672

Space-group type ... R-3m
ΔE_f ... -423 meV/atom



First-principles (PBE) data for a relaxed Ac3ScAl2Ge6 crystal, as listed in Alexandria.

a b c (Å): 6.4454 6.4454 8.5298
angles (deg): 90.00 90.00 120.00
Sites, in units of the cell vectors:
Ac 0.0000 0.0000 0.0000
Ac 0.3333 0.6667 0.6413
Ac 0.6667 0.3333 0.3587
Sc 0.0000 0.0000 0.5000
Al 0.3333 0.6667 0.0420
Al 0.6667 0.3333 0.9580
Ge 0.1953 0.3906 0.2930
Ge 0.1953 0.8047 0.2930
Ge 0.3906 0.1953 0.7070
Ge 0.6094 0.8047 0.2930
Ge 0.8047 0.1953 0.7070
Ge 0.8047 0.6094 0.7070

Space-group type ... P-3m1
ΔE_f ... -530 meV/atom



First-principles (PBE) data for a relaxed Ac2AlGeSe6 crystal, as listed in Alexandria.

a b c (Å): 6.8172 7.6486 12.1802
angles (deg): 90.00 123.92 90.00
Sites, in units of the cell vectors:
Ac 0.2108 0.1065 0.2511
Ac 0.2108 0.3935 0.7511
Ac 0.7892 0.6065 0.2489
Ac 0.7892 0.8935 0.7489
Al 0.5000 0.0000 0.0000
Al 0.5000 0.5000 0.5000
Ge 0.0000 0.0000 0.5000
Ge 0.0000 0.5000 0.0000
Se 0.1443 0.1755 0.9561
Se 0.1443 0.3245 0.4561
Se 0.2778 0.6885 0.9543
Se 0.2778 0.8115 0.4543
Se 0.3539 0.0020 0.7567
Se 0.3539 0.4980 0.2567
Se 0.6461 0.5020 0.7433
Se 0.6461 0.9980 0.2433
Se 0.7222 0.1885 0.5457
Se 0.7222 0.3115 0.0457
Se 0.8557 0.6755 0.5439
Se 0.8557 0.8245 0.0439

Space-group type ... P2_1/c
E_tot ... -4.979 eV per atom



First-principles (PBE) data for a relaxed Ac2AlSiGe crystal, as listed in Alexandria.

a b c (Å): 4.3284 8.5190 7.9106
angles (deg): 90.00 90.00 90.00
Sites, in units of the cell vectors:
Ac 0.2500 0.0109 0.2402
Ac 0.2500 0.4891 0.2402
Ac 0.7500 0.5109 0.7598
Ac 0.7500 0.9891 0.7598
Al 0.2500 0.2500 0.5905
Al 0.7500 0.7500 0.4095
Si 0.2500 0.7500 0.5708
Si 0.7500 0.2500 0.4292
Ge 0.2500 0.2500 0.9058
Ge 0.7500 0.7500 0.0942

Space-group type ... Pmmn
E_tot ... -4.953 eV per atom



First-principles (PBE) data for a relaxed AcAlSiGe crystal, as listed in Alexandria.

a b c (Å): 5.9887 5.9887 4.2605
angles (deg): 110.72 110.72 44.69
Sites, in units of the cell vectors:
Ac 0.0000 0.0000 0.0000
Al 0.2631 0.2631 0.7521
Si 0.3983 0.3983 0.3886
Ge 0.6406 0.6406 0.7215

Space-group type ... Cm
E_tot ... -4.791 eV per atom



First-principles (PBE) data for a relaxed AcSmAl2Ge2 crystal, as listed in Alexandria.

a b c (Å): 4.3023 4.3023 8.9362
angles (deg): 90.00 90.00 120.00
Sites, in units of the cell vectors:
Ac 0.0000 0.0000 0.0000
Sm 0.0000 0.0000 0.5000
Al 0.3333 0.6667 0.7478
Al 0.6667 0.3333 0.2522
Ge 0.3333 0.6667 0.2815
Ge 0.6667 0.3333 0.7185

Space-group type ... P-3m1
ΔE_f ... -625 meV/atom



First-principles (PBE) data for a relaxed Ac2Sm2AlGe4 crystal, as listed in Alexandria.

a b c (Å): 6.8526 6.8526 6.8526
angles (deg): 115.67 115.67 97.69
Sites, in units of the cell vectors:
Ac 0.2500 0.7500 0.5000
Ac 0.7500 0.2500 0.5000
Sm 0.1806 0.1806 0.0000
Sm 0.8194 0.8194 0.0000
Al 0.5000 0.5000 0.0000
Ge 0.2528 0.2528 0.5056
Ge 0.2528 0.7472 0.0000
Ge 0.7472 0.2528 0.0000
Ge 0.7472 0.7472 0.4944

Space-group type ... I4/mmm
ΔE_f ... -358 meV/atom



First-principles (PBE) data for a relaxed AcSmAl2Ge crystal, as listed in Alexandria.

a b c (Å): 7.0894 7.0894 7.0894
angles (deg): 143.19 141.55 54.29
Sites, in units of the cell vectors:
Ac 0.0000 0.0000 0.0000
Sm 0.2579 0.7579 0.5000
Al 0.6083 0.6083 0.0000
Al 0.7363 0.2363 0.5000
Ge 0.4057 0.4057 0.0000

Space-group type ... Imm2
ΔE_f ... -478 meV/atom



First-principles (PBE) data for a relaxed Ac2AlSnGe crystal, as listed in Alexandria.

a b c (Å): 7.5907 4.5719 9.6996
angles (deg): 90.00 105.76 90.00
Sites, in units of the cell vectors:
Ac 0.2039 0.2500 0.4078
Ac 0.2542 0.2500 0.9790
Ac 0.7458 0.7500 0.0210
Ac 0.7961 0.7500 0.5922
Al 0.4777 0.7500 0.2629
Al 0.5223 0.2500 0.7371
Sn 0.3073 0.7500 0.7002
Sn 0.6927 0.2500 0.2998
Ge 0.1476 0.7500 0.1748
Ge 0.8524 0.2500 0.8252

Space-group type ... P2_1/m
ΔE_f ... -573 meV/atom



First-principles (PBE) data for a relaxed Ac3Al2SnGe6 crystal, as listed in Alexandria.

a b c (Å): 6.4412 6.4412 8.8011
angles (deg): 90.00 90.00 120.00
Sites, in units of the cell vectors:
Ac 0.0000 0.0000 0.0000
Ac 0.3333 0.6667 0.6294
Ac 0.6667 0.3333 0.3706
Al 0.3333 0.6667 0.0159
Al 0.6667 0.3333 0.9841
Sn 0.0000 0.0000 0.5000
Ge 0.1979 0.3958 0.2717
Ge 0.1979 0.8021 0.2717
Ge 0.3958 0.1979 0.7283
Ge 0.6042 0.8021 0.2717
Ge 0.8021 0.1979 0.7283
Ge 0.8021 0.6042 0.7283

Space-group type ... P-3m1
ΔE_f ... -329 meV/atom



First-principles (PBE) data for a relaxed AcTbAlGe crystal, as listed in Alexandria.

a b c (Å): 5.3444 5.3444 5.3444
angles (deg): 60.00 60.00 60.00
Sites, in units of the cell vectors:
Ac 0.0000 0.0000 0.0000
Tb 0.5000 0.5000 0.5000
Al 0.7500 0.7500 0.7500
Ge 0.2500 0.2500 0.2500

Space-group type ... F-43m
Excess energy over the best structure of this formula in the dataset ... 206.9 meV per atom
ΔE_f ... -371 meV/atom



First-principles (PBE) data for a relaxed AcTbAlGe crystal, as listed in Alexandria.

a b c (Å): 4.1818 6.2639 6.2639
angles (deg): 42.83 90.00 90.00
Sites, in units of the cell vectors:
Ac 0.0000 0.0000 0.0000
Tb 0.5000 0.7212 0.7212
Al 0.0000 0.2802 0.2802
Ge 0.5000 0.4191 0.4191

Space-group type ... Amm2
Excess energy over the best structure of this formula in the dataset ... 0.0 meV per atom
ΔE_f ... -578 meV/atom



First-principles (PBE) data for a relaxed Ac2AlTlGe crystal, as listed in Alexandria.

a b c (Å): 7.7594 4.6048 9.6210
angles (deg): 90.00 106.04 90.00
Sites, in units of the cell vectors:
Ac 0.2002 0.2500 0.4076
Ac 0.2498 0.2500 0.9718
Ac 0.7502 0.7500 0.0282
Ac 0.7998 0.7500 0.5924
Al 0.4759 0.7500 0.2647
Al 0.5241 0.2500 0.7353
Tl 0.3085 0.7500 0.6965
Tl 0.6915 0.2500 0.3035
Ge 0.1513 0.7500 0.1709
Ge 0.8487 0.2500 0.8291

Space-group type ... P2_1/m
ΔE_f ... -413 meV/atom